A plane-wave DFT calculation with GGA-PBEsol was carried out for a relaxed structure of LiScPb2.

Values from the calculation:
Electronic total energy in eV per atom: -4.4984
Calculated formation energy in eV per atom: -0.36
Energy above the most stable polymorph in this dataset in meV per atom: 0

abc: 6.9906 7.8192 3.3729
angles: 90.00 90.00 90.00
Space group Cmmm (No. 65)
Asymmetric unit:
Li (0.0000, 0.0000, 0.0000) [2 per cell]
Sc (0.0000, 0.5000, 0.0000) [2 per cell]
Pb (0.2500, 0.2500, 0.5000) [4 per cell]